1.
VASP calculation (PBE) on a geometry-optimized Ca2AcSm structure.

a = 6.089 Å, b = 6.089 Å, c = 6.089 Å
α = 60.00°, β = 60.00°, γ = 60.00°
Atoms (fractional coordinates):
Ca 0.250 0.250 0.250
Ca 0.750 0.750 0.750
Ac 0.000 0.000 0.000
Sm 0.500 0.500 0.500

Properties
- Energy relative to the lowest polymorph listed for this composition: 0.0738 eV per atom
- Magnetic moment: 0.00 μB per formula unit

2.
VASP calculation (PBE) on a geometry-optimized ReOs3 structure.

a = 5.031 Å, b = 5.031 Å, c = 6.601 Å
α = 104.63°, β = 104.63°, γ = 49.89°
Atoms (fractional coordinates):
Re 0.086 0.086 0.381
Re 0.914 0.914 0.619
Os 0.151 0.151 0.985
Os 0.323 0.323 0.737
Os 0.379 0.379 0.335
Os 0.621 0.621 0.665
Os 0.677 0.677 0.263
Os 0.849 0.849 0.015

Properties
- Energy relative to the lowest polymorph listed for this composition: 0.4439 eV per atom
- Magnetic moment: 0.00 μB per formula unit

3.
VASP calculation (PBE) on a geometry-optimized TlGaAgSe structure.

a = 3.727 Å, b = 3.727 Å, c = 8.393 Å
α = 102.69°, β = 102.69°, γ = 59.79°
Atoms (fractional coordinates):
Tl 0.000 0.000 0.000
Ga 0.840 0.840 0.509
Ag 0.245 0.245 0.729
Se 0.452 0.452 0.340

Properties
- Energy relative to the lowest polymorph listed for this composition: 0.0000 eV per atom
- Formation energy from raw total energies: -53 kJ/mol of formula units
- Magnetic moment: 0.00 μB per formula unit

4.
VASP calculation (PBE) on a geometry-optimized TlTeSI2 structure.

a = 6.093 Å, b = 6.093 Å, c = 5.946 Å
α = 90.00°, β = 90.00°, γ = 90.00°
Atoms (fractional coordinates):
Tl 0.000 0.000 0.000
Te 0.000 0.000 0.500
S 0.500 0.500 0.500
I 0.000 0.500 0.000
I 0.500 0.000 0.000

Properties
- Energy relative to the lowest polymorph listed for this composition: 0.7926 eV per atom
- Formation energy from raw total energies: 332 kJ/mol of formula units
- Magnetic moment: 3.52 μB per formula unit

5.
VASP calculation (PBE) on a geometry-optimized Pr2PuIr2 structure.

a = 7.437 Å, b = 7.437 Å, c = 7.437 Å
α = 115.68°, β = 84.68°, γ = 131.25°
Atoms (fractional coordinates):
Pr 0.162 0.136 0.298
Pr 0.338 0.636 0.973
Pr 0.662 0.364 0.027
Pr 0.838 0.864 0.702
Pu 0.250 0.750 0.500
Pu 0.750 0.250 0.500
Ir 0.094 0.765 0.859
Ir 0.406 0.265 0.671
Ir 0.594 0.735 0.329
Ir 0.906 0.235 0.141

Properties
- Energy relative to the lowest polymorph listed for this composition: 0.1329 eV per atom
- Magnetic moment: 5.53 μB per formula unit

6.
VASP calculation (PBE) on a geometry-optimized LuZrAgHg structure.

a = 5.014 Å, b = 5.014 Å, c = 5.014 Å
α = 60.00°, β = 60.00°, γ = 60.00°
Atoms (fractional coordinates):
Lu 0.000 0.000 0.000
Zr 0.500 0.500 0.500
Ag 0.750 0.750 0.750
Hg 0.250 0.250 0.250

Properties
- Total DFT energy (no corrections): -16.99 eV per formula unit
- Magnetic moment: 0.85 μB per formula unit